Density functional theory data (PBE) for crystalline Be2Cu2Sb at its relaxed geometry.

POSCAR file:
```
Be2Cu2Sb
1.0
6.987 0.000 0.000
0.000 6.987 0.000
0.000 0.000 2.779
Be Cu Sb
4 4 2
Cartesian
0.998 2.496 0.000
2.496 5.989 0.000
4.491 0.998 0.000
5.989 4.491 0.000
0.956 4.450 1.390
2.537 0.956 1.390
4.450 6.031 1.390
6.031 2.537 1.390
0.000 0.000 1.390
3.494 3.494 1.390
```

Calculated values
- SG = P4/mbm, No. 127
- D(E_F) (states/eV/cell) = 3.88
- E_form (uncorrected) (eV/atom) = 0.3122
- M_tot (μB per formula unit) = 0.00